[1]
A geometry-optimized SrSc2As2 structure, computed with PBE.

Computed properties:
As for the formation enthalpy at 0 K: -0.87 eV per atom. Its space group is P4/mbm (127).

The structure in POSCAR format:
```
SrSc2As2
1.0
-0.1518 4.2911 -6.6111
-7.6256 1.5918 1.2082
0.9353 3.0128 1.9340
As Sr Sc
4 2 4
Cartesian
-5.0566 4.6925 -4.8644
-6.5651 2.8777 -1.3079
-2.7207 1.1903 -0.5384
-1.2123 3.0051 -4.0950
-3.8887 2.9414 -2.7014
0.0000 0.0000 0.0000
-6.1497 5.6352 -2.2646
-2.3687 5.7400 -4.2562
-4.4733 3.1556 0.7874
-0.6924 3.2604 -1.2043
```

=====

[2]
A geometry-optimized BaAlF2 structure, computed with PBE.

Computed properties:
As for the uncorrected formation energy: -1.99 eV per atom. Its space group is I-42d (122).

The structure in POSCAR format:
```
BaAlF2
1.0
5.2835 5.4104 3.7431
-1.5592 5.3121 6.3678
-0.9038 -7.9585 -2.6542
F Al Ba
4 2 2
Cartesian
3.1673 4.0106 3.1503
0.9785 0.0780 2.4136
2.7731 5.3668 7.5708
-1.2778 -3.9272 1.7787
1.8621 5.3613 5.0555
-0.3004 1.3575 4.3845
0.0000 0.0000 0.0000
3.1209 1.4066 3.0722
```

=====

[3]
A geometry-optimized Cd2PbAu2 structure, computed with PBE.

Computed properties:
As for the formation enthalpy at 0 K: -0.06 eV per atom. Its space group is C2/m (12).

The structure in POSCAR format:
```
Cd2PbAu2
1.0
-3.7263 1.0552 1.8281
0.9671 -3.5971 4.0474
3.9746 4.3767 0.5590
Au Cd Pb
2 2 1
Cartesian
-0.8525 2.1278 2.0505
2.0679 -0.2930 4.3841
-0.7269 -0.1591 3.6265
1.9423 1.9940 2.8081
0.0000 0.0000 0.0000
```

=====

[4]
A geometry-optimized FeRe3N structure, computed with PBE.

Computed properties:
As for the uncorrected formation energy: 0.33 eV per atom. Its space group is Pm-3m (221).

The structure in POSCAR format:
```
FeRe3N
1.0
4.0240 0.0000 0.0000
0.0000 4.0240 0.0000
0.0000 0.0000 4.0240
Re N Fe
3 1 1
Cartesian
0.0000 2.0120 0.0000
2.0120 0.0000 0.0000
0.0000 0.0000 2.0120
0.0000 0.0000 0.0000
2.0120 2.0120 2.0120
```